Record 1
The following is a GGA-PBEsol calculation of Al8Ag after structural relaxation, from Alexandria.

The space group is I4/mmm (No. 139) and the conventional cell measures 8.577, 8.577 and 3.977 Å, with angles of 90.00, 90.00 and 90.00 degrees. The inequivalent atoms are Al at (0.000, 0.333, 0.000), Al at (0.166, 0.166, 0.500) and Ag at (0.000, 0.000, 0.000).

The calculation puts the formation energy at 0 meV per atom. The calculation puts the calculated volume at 16.253 Å³ per atom. The calculation puts the magnetization at 0.000 μB per cell. The final energy comes out at -72.08 eV/cell.

Record 2
The following is a GGA-PBEsol calculation of Al2Ag3 after structural relaxation, from Alexandria.

The space group is Fdd2 (No. 43) and the conventional cell measures 9.767, 13.185 and 5.033 Å, with angles of 90.00, 90.00 and 90.00 degrees. The inequivalent atoms are Al at (0.032, 0.200, 0.000), Ag at (0.000, 0.000, 0.039) and Ag at (0.055, 0.103, 0.532).

As for the excess energy over the best structure of this formula in the dataset: 2.7 kJ/mol of atoms. The calculation puts the formation energy at -56 meV per atom. The calculation puts the calculated volume at 16.203 Å³ per atom. The calculation puts the magnetization at 0.002 μB per cell. The final energy comes out at -147.18 eV/cell.

Record 3
The following is a GGA-PBEsol calculation of AlAg after structural relaxation, from Alexandria.

The space group is Fmmm (No. 69) and the conventional cell measures 5.841, 8.038 and 10.995 Å, with angles of 90.00, 90.00 and 90.00 degrees. The inequivalent atoms are Al at (0.000, 0.000, 0.126), Al at (0.250, 0.250, 0.000), Ag at (0.000, 0.000, 0.375) and Ag at (0.250, 0.250, 0.250).

The calculation puts the formation energy at -72 meV per atom. The calculation puts the calculated volume at 16.132 Å³ per atom. The calculation puts the magnetization at 0.000 μB per cell. The final energy comes out at -120.75 eV/cell.

Record 4
The following is a GGA-PBEsol calculation of Al3Ag5 after structural relaxation, from Alexandria.

The space group is P6_3/mcm (No. 193) and the conventional cell measures 7.6619, 7.6619 and 5.2067 Å, with angles of 90.00, 90.00 and 120.00 degrees. The inequivalent atoms are Al at (0.0000, 0.3998, 0.2500), Ag at (0.0000, 0.2317, 0.7500) and Ag at (0.3333, 0.6667, 0.0000).

As for the excess energy over the best structure of this formula in the dataset: 7.9 kJ/mol of atoms. The calculation puts the formation energy at -11 meV per atom. The calculation puts the calculated volume at 16.544 Å³ per atom. The calculation puts the magnetization at 0.001 μB per cell. The final energy comes out at -57.84 eV/cell.

Record 5
The following is a GGA-PBEsol calculation of AlAg2 after structural relaxation, from Alexandria.

The space group is P-1 (No. 2) and the conventional cell measures 5.621, 5.649 and 7.414 Å, with angles of 69.64, 79.96 and 60.90 degrees. The inequivalent atoms are Al at (0.000, 0.000, 0.000), Al at (0.180, 0.336, 0.663), Al at (0.500, 0.500, 0.000), Ag at (0.000, 0.500, 0.000), Ag at (0.173, 0.832, 0.679), Ag at (0.323, 0.172, 0.339), Ag at (0.324, 0.668, 0.330) and Ag at (0.500, 0.000, 0.000).

The calculation puts the formation energy at -87 meV per atom. The calculation puts the calculated volume at 16.071 Å³ per atom. The calculation puts the magnetization at 0.000 μB per cell. The final energy comes out at -43.90 eV/cell.

Record 6
The following is a GGA-PBEsol calculation of Al6Ag after structural relaxation, from Alexandria.

The space group is Immm (No. 71) and the conventional cell measures 2.876, 3.989 and 19.838 Å, with angles of 90.00, 90.00 and 90.00 degrees. The inequivalent atoms are Al at (0.000, 0.000, 0.072), Al at (0.000, 0.000, 0.214), Al at (0.000, 0.000, 0.356) and Ag at (0.000, 0.000, 0.500).

As for the excess energy over the best structure of this formula in the dataset: 2.0 kJ/mol of atoms. The calculation puts the formation energy at -1 meV per atom. The calculation puts the calculated volume at 16.256 Å³ per atom. The calculation puts the magnetization at 0.000 μB per cell. The final energy comes out at -55.73 eV/cell.

Record 7
The following is a GGA-PBEsol calculation of Al3Ag after structural relaxation, from Alexandria.

The space group is Pnma (No. 62) and the conventional cell measures 4.951, 9.320 and 5.626 Å, with angles of 90.00, 90.00 and 90.00 degrees. The inequivalent atoms are Al at (0.080, 0.250, 0.117), Al at (0.245, 0.501, 0.371) and Ag at (0.086, 0.250, 0.613).

The calculation puts the formation energy at -17 meV per atom. The calculation puts the calculated volume at 16.224 Å³ per atom. The calculation puts the magnetization at 0.001 μB per cell. The final energy comes out at -62.62 eV/cell.

Record 8
The following is a GGA-PBEsol calculation of Al3Ag5 after structural relaxation, from Alexandria.

The space group is C2/m (No. 12) and the conventional cell measures 11.648, 2.925 and 9.446 Å, with angles of 90.00, 127.05 and 90.00 degrees. The inequivalent atoms are Al at (0.000, 0.000, 0.000), Al at (0.121, 0.000, 0.379), Ag at (0.000, 0.500, 0.500), Ag at (0.119, 0.500, 0.873) and Ag at (0.237, 0.500, 0.249).

As for the excess energy over the best structure of this formula in the dataset: 0.7 kJ/mol of atoms. The calculation puts the formation energy at -86 meV per atom. The calculation puts the calculated volume at 16.054 Å³ per atom. The calculation puts the magnetization at 0.000 μB per cell. The final energy comes out at -59.03 eV/cell.

Record 9
The following is a GGA-PBEsol calculation of Al3Ag5 after structural relaxation, from Alexandria.

The space group is Immm (No. 71) and the conventional cell measures 3.855, 4.083 and 16.259 Å, with angles of 90.00, 90.00 and 90.00 degrees. The inequivalent atoms are Al at (0.000, 0.000, 0.000), Al at (0.000, 0.500, 0.128), Ag at (0.000, 0.000, 0.251), Ag at (0.000, 0.000, 0.500) and Ag at (0.000, 0.500, 0.380).

As for the excess energy over the best structure of this formula in the dataset: 0.5 kJ/mol of atoms. The calculation puts the formation energy at -88 meV per atom. The calculation puts the calculated volume at 15.995 Å³ per atom. The calculation puts the magnetization at 0.000 μB per cell. The final energy comes out at -59.07 eV/cell.

Record 10
The following is a GGA-PBEsol calculation of Al5Ag after structural relaxation, from Alexandria.

The space group is P6/mmm (No. 191) and the conventional cell measures 5.2143, 5.2143 and 4.6603 Å, with angles of 90.00, 90.00 and 120.00 degrees. The inequivalent atoms are Al at (0.0000, 0.5000, 0.0000), Al at (0.3333, 0.6667, 0.5000) and Ag at (0.0000, 0.0000, 0.5000).

As for the excess energy over the best structure of this formula in the dataset: 29.7 kJ/mol of atoms. The calculation puts the formation energy at 285 meV per atom. The calculation puts the calculated volume at 18.289 Å³ per atom. The calculation puts the magnetization at 0.000 μB per cell. The final energy comes out at -22.06 eV/cell.

Record 11
The following is a GGA-PBEsol calculation of Al5Ag4 after structural relaxation, from Alexandria.

The space group is P1 (No. 1) and the conventional cell measures 4.882, 4.951 and 7.465 Å, with angles of 71.22, 72.01 and 60.53 degrees. The inequivalent atoms are Al at (0.000, 0.000, 0.000), Al at (0.106, 0.465, 0.662), Al at (0.329, 0.336, 0.000), Al at (0.442, 0.800, 0.662), Al at (0.875, 0.557, 0.331), Ag at (0.211, 0.886, 0.333), Ag at (0.542, 0.221, 0.330), Ag at (0.669, 0.673, 0.994) and Ag at (0.771, 0.138, 0.667).

As for the excess energy over the best structure of this formula in the dataset: 2.2 kJ/mol of atoms. The calculation puts the formation energy at -38 meV per atom. The calculation puts the calculated volume at 16.248 Å³ per atom. The calculation puts the magnetization at 0.000 μB per cell. The final energy comes out at -34.04 eV/cell.

Record 12
The following is a GGA-PBEsol calculation of Al4Ag5 after structural relaxation, from Alexandria.

The space group is P-1 (No. 2) and the conventional cell measures 4.990, 4.999 and 6.910 Å, with angles of 75.32, 83.55 and 60.30 degrees. The inequivalent atoms are Al at (0.007, 0.216, 0.327), Al at (0.341, 0.551, 0.327), Ag at (0.000, 0.000, 0.000), Ag at (0.319, 0.131, 0.653) and Ag at (0.330, 0.340, 0.000).

As for the excess energy over the best structure of this formula in the dataset: 0.0 kJ/mol of atoms. The calculation puts the formation energy at -84 meV per atom. The calculation puts the calculated volume at 16.093 Å³ per atom. The calculation puts the magnetization at 0.000 μB per cell. The final energy comes out at -33.68 eV/cell.

Record 13
The following is a GGA-PBEsol calculation of Al7Ag5 after structural relaxation, from Alexandria.

The space group is Pm (No. 6) and the conventional cell measures 5.715, 3.919 and 9.119 Å, with angles of 90.00, 108.22 and 90.00 degrees. The inequivalent atoms are Al at (0.000, 0.000, 0.000), Al at (0.010, 0.500, 0.488), Al at (0.176, 0.500, 0.827), Al at (0.341, 0.000, 0.665), Al at (0.353, 0.500, 0.168), Al at (0.514, 0.500, 0.498), Al at (0.852, 0.000, 0.662), Ag at (0.188, 0.000, 0.340), Ag at (0.488, 0.000, 0.993), Ag at (0.679, 0.000, 0.337), Ag at (0.681, 0.500, 0.818) and Ag at (0.851, 0.500, 0.158).

As for the excess energy over the best structure of this formula in the dataset: 0.8 kJ/mol of atoms. The calculation puts the formation energy at -48 meV per atom. The calculation puts the calculated volume at 16.168 Å³ per atom. The calculation puts the magnetization at 0.000 μB per cell. The final energy comes out at -45.77 eV/cell.